# Tb4Ge2Ir | Alexandria via LeMat-Bulk | PBE-GGA | optimized geometry
data_Tb4Ge2Ir
_space_group_name_H-M_alt 'C 1 2/m 1'
_space_group_IT_number 12
_cell_length_a 13.676
_cell_length_b 4.386
_cell_length_c 7.318
_cell_angle_alpha 90.00
_cell_angle_beta 121.44
_cell_angle_gamma 90.00
loop_
_space_group_symop_operation_xyz
'x,y,z'
'-x,-y,-z'
'-x,y,-z'
'x,-y,z'
'x+1/2,y+1/2,z'
'-x+1/2,-y+1/2,-z'
'-x+1/2,y+1/2,-z'
'x+1/2,-y+1/2,z'
loop_
_atom_site_label
_atom_site_type_symbol
_atom_site_fract_x
_atom_site_fract_y
_atom_site_fract_z
_atom_site_occupancy
Tb1 Tb 0.111 0.000 0.297 1
Tb2 Tb 0.130 0.500 0.779 1
Ge1 Ge 0.231 0.500 0.232 1
Ir1 Ir 0.000 0.500 0.000 1
# Size of the total moment ... 0.00 μB per formula unit
# Theoretical density ... 8.6 g/cm³
# ΔE_f ... -0.64 eV/atom
# Calculated volume ... 374.47 Å³/cell
# Density of states at the Fermi level ... 0.85 states/eV/atom

***

# La12Bi3Ru5 | Alexandria via LeMat-Bulk | PBE-GGA | optimized geometry
data_La12Bi3Ru5
_space_group_name_H-M_alt 'I a -3 d'
_space_group_IT_number 230
_space_group_name_Hall '-I 4bd 2c 3'
_cell_length_a 17.710
_cell_length_b 17.710
_cell_length_c 17.710
_cell_angle_alpha 90.00
_cell_angle_beta 90.00
_cell_angle_gamma 90.00
loop_
_atom_site_label
_atom_site_type_symbol
_atom_site_fract_x
_atom_site_fract_y
_atom_site_fract_z
_atom_site_occupancy
La1 La 0.031 0.053 0.649 1
Bi1 Bi 0.000 0.250 0.125 1
Ru1 Ru 0.000 0.000 0.000 1
Ru2 Ru 0.000 0.250 0.375 1
# Size of the total moment ... 0.00 μB per formula unit
# Theoretical density ... 6.7 g/cm³
# ΔE_f ... -0.33 eV/atom
# Calculated volume ... 5554.70 Å³/cell
# Density of states at the Fermi level ... 1.16 states/eV/atom

***

# Tl6CdSn | Alexandria via LeMat-Bulk | PBE-GGA | optimized geometry
data_Tl6CdSn
_space_group_name_H-M_alt 'R -3 m'
_space_group_IT_number 166
_space_group_name_Hall '-R 3 2"'
_cell_length_a 12.1196
_cell_length_b 12.1196
_cell_length_c 5.7635
_cell_angle_alpha 90.00
_cell_angle_beta 90.00
_cell_angle_gamma 120.00
loop_
_atom_site_label
_atom_site_type_symbol
_atom_site_fract_x
_atom_site_fract_y
_atom_site_fract_z
_atom_site_occupancy
Tl1 Tl 0.0232 0.5116 0.2519 1
Cd1 Cd 0.0000 0.0000 0.0000 1
Sn1 Sn 0.0000 0.0000 0.5000 1
# Size of the total moment ... 0.00 μB per formula unit
# Theoretical density ... 9.9 g/cm³
# ΔE_f ... 0.15 eV/atom
# Calculated volume ... 733.15 Å³/cell
# Density of states at the Fermi level ... 0.39 states/eV/atom
# Distance to the lowest polymorph of the same formula ... 110 meV per atom

***

# YHoAu | Alexandria via LeMat-Bulk | PBE-GGA | optimized geometry
data_YHoAu
_space_group_name_H-M_alt 'P 3 m 1'
_space_group_IT_number 156
_cell_length_a 4.8988
_cell_length_b 4.8988
_cell_length_c 3.8274
_cell_angle_alpha 90.00
_cell_angle_beta 90.00
_cell_angle_gamma 120.00
loop_
_space_group_symop_operation_xyz
'x,y,z'
'-y,x-y,z'
'-x+y,-x,z'
'-y,-x,z'
'-x+y,y,z'
'x,x-y,z'
loop_
_atom_site_label
_atom_site_type_symbol
_atom_site_fract_x
_atom_site_fract_y
_atom_site_fract_z
_atom_site_occupancy
Y1 Y 0.0000 0.0000 0.0000 1
Ho1 Ho 0.3333 0.6667 0.5276 1
Au1 Au 0.6667 0.3333 0.2802 1
# Size of the total moment ... 0.00 μB per formula unit
# Theoretical density ... 9.4 g/cm³
# ΔE_f ... -0.42 eV/atom
# Calculated volume ... 79.54 Å³/cell
# Density of states at the Fermi level ... 0.64 states/eV/atom
# Distance to the lowest polymorph of the same formula ... 204 meV per atom

***

# LiUAgCl6 | Alexandria via LeMat-Bulk | PBE-GGA | optimized geometry
data_LiUAgCl6
_space_group_name_H-M_alt 'P -3 1 c'
_space_group_IT_number 163
_space_group_name_Hall '-P 3 2c'
_cell_length_a 6.6431
_cell_length_b 6.6431
_cell_length_c 12.3204
_cell_angle_alpha 90.00
_cell_angle_beta 90.00
_cell_angle_gamma 120.00
loop_
_atom_site_label
_atom_site_type_symbol
_atom_site_fract_x
_atom_site_fract_y
_atom_site_fract_z
_atom_site_occupancy
Li1 Li 0.3333 0.6667 0.2500 1
U1 U 0.3333 0.6667 0.7500 1
Ag1 Ag 0.0000 0.0000 0.0000 1
Cl1 Cl 0.0021 0.3489 0.1299 1
# Formation energy without anion corrections ... -1.449 eV per atom
# Size of the total moment ... 2.00 μB per formula unit
# Theoretical density ... 4.0 g/cm³
# Calculated volume ... 470.87 Å³/cell
# Density of states at the Fermi level ... 0.60 states/eV/atom

***

# Ag4Au3Br12 | Alexandria via LeMat-Bulk | PBE-GGA | optimized geometry
data_Ag4Au3Br12
_space_group_name_H-M_alt 'I m -3'
_space_group_IT_number 204
_space_group_name_Hall '-I 2 2 3'
_cell_length_a 10.500
_cell_length_b 10.500
_cell_length_c 10.500
_cell_angle_alpha 90.00
_cell_angle_beta 90.00
_cell_angle_gamma 90.00
loop_
_atom_site_label
_atom_site_type_symbol
_atom_site_fract_x
_atom_site_fract_y
_atom_site_fract_z
_atom_site_occupancy
Ag1 Ag 0.250 0.250 0.250 1
Au1 Au 0.000 0.000 0.500 1
Br1 Br 0.000 0.325 0.167 1
# Formation energy without anion corrections ... -0.195 eV per atom
# Size of the total moment ... 0.00 μB per formula unit
# Theoretical density ... 5.7 g/cm³
# Calculated volume ... 1157.67 Å³/cell
# Density of states at the Fermi level ... 0.51 states/eV/atom